[1]
# Be2MoRu, PBEsol geometry, DFT meta-GGA SCAN
# Excess energy over the best structure of this formula in the dataset = 0.0 meV per atom
data_Be2MoRu
_chemical_formula_sum 'Be4 Mo2 Ru2'
_cell_length_a 3.501
_cell_length_b 2.849
_cell_length_c 8.782
_cell_angle_alpha 90.00
_cell_angle_beta 90.00
_cell_angle_gamma 90.00
_symmetry_space_group_name_H-M 'A m m 2'
_symmetry_Int_Tables_number 38
loop_
_symmetry_equiv_pos_as_xyz
'x,y,z'
'-x,-y,z'
'-x,y,z'
'x,-y,z'
'x,y+1/2,z+1/2'
'-x,-y+1/2,z+1/2'
'-x,y+1/2,z+1/2'
'x,-y+1/2,z+1/2'
loop_
_atom_site_label
_atom_site_type_symbol
_atom_site_fract_x
_atom_site_fract_y
_atom_site_fract_z
Be1 Be 0.000 0.000 0.000
Be2 Be 0.500 0.000 0.128
Mo1 Mo 0.500 0.000 0.399
Ru1 Ru 0.000 0.000 0.720

[2]
Compound: Ta3TlIr
Source: Alexandria
Functional: meta-GGA SCAN
Structure: PBEsol geometry

The structure in CIF format:
```
data_Ta3TlIr
_chemical_formula_sum 'Ta3 Tl1 Ir1'
_cell_length_a 4.830
_cell_length_b 4.830
_cell_length_c 4.830
_cell_angle_alpha 90.00
_cell_angle_beta 90.00
_cell_angle_gamma 90.00
_symmetry_space_group_name_H-M 'P m -3 m'
_symmetry_Int_Tables_number 221
_symmetry_space_group_name_Hall '-P 4 2 3'
loop_
_atom_site_label
_atom_site_type_symbol
_atom_site_fract_x
_atom_site_fract_y
_atom_site_fract_z
Ta1 Ta 0.000 0.000 0.500
Tl1 Tl 0.500 0.500 0.500
Ir1 Ir 0.000 0.000 0.000
```

Record order is preserved below.
Mass density: 8.15 13.84 g cm⁻³
Record order is preserved below.
E_form: -0.219 0.926 eV/atom